# 1
Here is PmPuAu after structural relaxation from the Alexandria database. Energies are from PBE.

Cell: 5.0341 5.0341 3.5193 Å, 90.00 90.00 120.00°
Closest atoms and distances in Å follow each position.
Fractional positions:
Pm 0.0000 0.0000 0.0000  3 Au 3.14, 3 Pu 3.22
Pu 0.6667 0.3333 0.3916  3 Au 3.06, 3 Pm 3.22
Au 0.3333 0.6667 0.6610  3 Pu 3.06, 3 Pm 3.14

Summary:
The formation enthalpy at 0 K comes out at -0.20 eV/atom. The value obtained for the distance to the lowest polymorph of the same formula is 92 meV per atom. The calculation puts the total energy at -7.653 eV/atom.

---

# 2
Here is PmPuAu3 after structural relaxation from the Alexandria database. Energies are from PBE.

Cell: 5.8162 7.1576 6.0324 Å, 90.00 101.65 90.00°
Closest atoms and distances in Å follow each position.
Fractional positions:
Pm 0.1562 0.2500 0.2818  8 Au 3.03-3.28
Pm 0.8438 0.7500 0.7182  8 Au 3.03-3.28
Pu 0.4109 0.7500 0.1120  6 Au 2.93-3.19
Pu 0.5891 0.2500 0.8880  6 Au 2.93-3.19
Au 0.0531 0.2500 0.7686  2 Pu 2.93-3.05, 4 Au 2.94-3.18, 2 Pm 3.03-3.11
Au 0.3208 0.5595 0.6249  3 Au 2.73-2.94, 1 Pu 2.98, 1 Pm 3.05
Au 0.3208 0.9405 0.6249  3 Au 2.73-2.94, 1 Pu 2.98, 1 Pm 3.05
Au 0.6792 0.0595 0.3751  3 Au 2.73-2.94, 1 Pu 2.98, 1 Pm 3.05
Au 0.6792 0.4405 0.3751  3 Au 2.73-2.94, 1 Pu 2.98, 1 Pm 3.05
Au 0.9469 0.7500 0.2314  2 Pu 2.93-3.05, 4 Au 2.94-3.18, 2 Pm 3.03-3.11

Summary:
The formation enthalpy at 0 K comes out at -0.50 eV/atom. The calculation puts the total energy at -6.288 eV/atom.

---

> Which of these has the highest formation enthalpy at 0 K?

PmPuAu

---

What did the first record say?
Here is PmPuAu after structural relaxation from the Alexandria database. Energies are from PBE.

Cell: 5.0341 5.0341 3.5193 Å, 90.00 90.00 120.00°
Closest atoms and distances in Å follow each position.
Fractional positions:
Pm 0.0000 0.0000 0.0000  3 Au 3.14, 3 Pu 3.22
Pu 0.6667 0.3333 0.3916  3 Au 3.06, 3 Pm 3.22
Au 0.3333 0.6667 0.6610  3 Pu 3.06, 3 Pm 3.14

Summary:
The formation enthalpy at 0 K comes out at -0.20 eV/atom. The value obtained for the distance to the lowest polymorph of the same formula is 92 meV per atom. The calculation puts the total energy at -7.653 eV/atom.

---

> Which formula does entry 1 have?

PmPuAu

---

What did the second record say?
Here is PmPuAu3 after structural relaxation from the Alexandria database. Energies are from PBE.

Cell: 5.8162 7.1576 6.0324 Å, 90.00 101.65 90.00°
Closest atoms and distances in Å follow each position.
Fractional positions:
Pm 0.1562 0.2500 0.2818  8 Au 3.03-3.28
Pm 0.8438 0.7500 0.7182  8 Au 3.03-3.28
Pu 0.4109 0.7500 0.1120  6 Au 2.93-3.19
Pu 0.5891 0.2500 0.8880  6 Au 2.93-3.19
Au 0.0531 0.2500 0.7686  2 Pu 2.93-3.05, 4 Au 2.94-3.18, 2 Pm 3.03-3.11
Au 0.3208 0.5595 0.6249  3 Au 2.73-2.94, 1 Pu 2.98, 1 Pm 3.05
Au 0.3208 0.9405 0.6249  3 Au 2.73-2.94, 1 Pu 2.98, 1 Pm 3.05
Au 0.6792 0.0595 0.3751  3 Au 2.73-2.94, 1 Pu 2.98, 1 Pm 3.05
Au 0.6792 0.4405 0.3751  3 Au 2.73-2.94, 1 Pu 2.98, 1 Pm 3.05
Au 0.9469 0.7500 0.2314  2 Pu 2.93-3.05, 4 Au 2.94-3.18, 2 Pm 3.03-3.11

Summary:
The formation enthalpy at 0 K comes out at -0.50 eV/atom. The calculation puts the total energy at -6.288 eV/atom.